CuH6C3SBr3N3 | PBE-GGA | optimized geometry

Cell: 5.839 13.413 13.247 Å, 90.00 109.75 90.00°
Sites, in units of the cell vectors:
Cu1 0.217 0.072 0.459
Cu2 0.217 0.428 0.959
Cu3 0.783 0.572 0.041
Cu4 0.783 0.928 0.541
H1 0.388 0.077 0.172
H2 0.388 0.423 0.672
H3 0.440 0.120 0.840
H4 0.440 0.380 0.340
H5 0.450 0.545 0.417
H6 0.450 0.955 0.917
H7 0.454 0.650 0.764
H8 0.454 0.850 0.264
H9 0.467 0.671 0.378
H10 0.467 0.829 0.878
H11 0.495 0.738 0.677
H12 0.495 0.762 0.177
H13 0.505 0.238 0.823
H14 0.505 0.262 0.323
H15 0.533 0.171 0.122
H16 0.533 0.329 0.622
H17 0.546 0.150 0.736
H18 0.546 0.350 0.236
H19 0.550 0.045 0.083
H20 0.550 0.455 0.583
H21 0.560 0.620 0.660
H22 0.560 0.880 0.160
H23 0.612 0.577 0.328
H24 0.612 0.923 0.828
C1 0.184 0.645 0.619
C2 0.184 0.855 0.119
C3 0.208 0.115 0.007
C4 0.208 0.385 0.507
C5 0.431 0.101 0.101
C6 0.431 0.399 0.601
C7 0.569 0.601 0.399
C8 0.569 0.899 0.899
C9 0.792 0.615 0.493
C10 0.792 0.885 0.993
C11 0.816 0.145 0.881
C12 0.816 0.355 0.381
S1 0.062 0.659 0.482
S2 0.062 0.841 0.982
S3 0.938 0.159 0.018
S4 0.938 0.341 0.518
Br1 0.169 0.158 0.296
Br2 0.169 0.342 0.796
Br3 0.184 0.000 0.624
Br4 0.184 0.500 0.124
Br5 0.409 0.642 0.929
Br6 0.409 0.858 0.429
Br7 0.591 0.142 0.571
Br8 0.591 0.358 0.071
Br9 0.816 0.000 0.376
Br10 0.816 0.500 0.876
Br11 0.831 0.658 0.204
Br12 0.831 0.842 0.704
N1 0.035 0.611 0.665
N2 0.035 0.889 0.165
N3 0.191 0.096 0.907
N4 0.191 0.404 0.407
N5 0.435 0.664 0.683
N6 0.435 0.836 0.183
N7 0.565 0.164 0.817
N8 0.565 0.336 0.317
N9 0.809 0.596 0.593
N10 0.809 0.904 0.093
N11 0.965 0.111 0.835
N12 0.965 0.389 0.335

Energy = -350.04 eV per cell
Calculated volume = 14.36 Å³ per atom

=====

GdDy2Mg4In2 | PBE-GGA | optimized geometry

Cell: 4.664 7.603 7.603 Å, 120.27 90.00 90.00°
Sites, in units of the cell vectors:
Gd1 0.000 0.000 0.000
Dy1 0.000 0.434 0.870
Dy2 0.000 0.870 0.434
Mg1 0.000 0.437 0.437
Mg2 0.500 0.192 0.435
Mg3 0.500 0.435 0.192
Mg4 0.500 0.678 0.678
In1 0.500 0.102 0.767
In2 0.500 0.767 0.102

Energy = -28.10 eV per cell
Spin magnetization = 0.00 μB/f.u.
Calculated volume = 25.87 Å³ per atom

=====

Q: The lowest energy belongs to which entry?
A: CuH6C3SBr3N3

=====

Q: Which of these has the lowest energy?
A: CuH6C3SBr3N3

=====

Copy entry 2 word for word.
GdDy2Mg4In2 | PBE-GGA | optimized geometry

Cell: 4.664 7.603 7.603 Å, 120.27 90.00 90.00°
Sites, in units of the cell vectors:
Gd1 0.000 0.000 0.000
Dy1 0.000 0.434 0.870
Dy2 0.000 0.870 0.434
Mg1 0.000 0.437 0.437
Mg2 0.500 0.192 0.435
Mg3 0.500 0.435 0.192
Mg4 0.500 0.678 0.678
In1 0.500 0.102 0.767
In2 0.500 0.767 0.102

Energy = -28.10 eV per cell
Spin magnetization = 0.00 μB/f.u.
Calculated volume = 25.87 Å³ per atom

=====

Q: What is the formula in the second record?
A: GdDy2Mg4In2